Entry 1:
# GGA-PBE HgAsIO2, optimized geometry
# E_tot: -2.6475 eV/atom
# Distance to the lowest polymorph of the same formula: 750.8 meV per atom
# Total magnetic moment: 2.0 Bohr magnetons per cell
# Crystal system: tetragonal
# E_form (uncorrected): 0.636 eV per atom
data_HgAsIO2
_cell_length_a 4.1923
_cell_length_b 4.1923
_cell_length_c 7.1362
_cell_angle_alpha 90.00
_cell_angle_beta 90.00
_cell_angle_gamma 90.00
_space_group_name_H-M_alt 'P 4/m m m'
_space_group_IT_number 123
_space_group_name_Hall '-P 4 2'
loop_
_atom_site_label
_atom_site_fract_x
_atom_site_fract_y
_atom_site_fract_z
_atom_site_occupancy
Hg1 0.0000 0.0000 0.0000 1
As1 0.5000 0.5000 0.5000 1
I1 0.0000 0.0000 0.5000 1
O1 0.0000 0.5000 0.0000 1


Entry 2:
# GGA-PBE HgAsIO2, optimized geometry
# E_tot: -3.3983 eV/atom
# Distance to the lowest polymorph of the same formula: 0.0 meV per atom
# Total magnetic moment: 0.0 Bohr magnetons per cell
# Crystal system: tetragonal
# E_form (uncorrected): -0.115 eV per atom
data_HgAsIO2
_cell_length_a 4.0125
_cell_length_b 4.0125
_cell_length_c 6.4060
_cell_angle_alpha 90.00
_cell_angle_beta 90.00
_cell_angle_gamma 90.00
_space_group_name_H-M_alt 'P 4/m m m'
_space_group_IT_number 123
_space_group_name_Hall '-P 4 2'
loop_
_atom_site_label
_atom_site_fract_x
_atom_site_fract_y
_atom_site_fract_z
_atom_site_occupancy
Hg1 0.0000 0.0000 0.0000 1
As1 0.5000 0.5000 0.5000 1
I1 0.5000 0.5000 0.0000 1
O1 0.0000 0.5000 0.5000 1


Entry 3:
# GGA-PBE HgAs2IO, optimized geometry
# E_tot: -1.7374 eV/atom
# Total magnetic moment: 3.3 Bohr magnetons per cell
# Crystal system: tetragonal
# E_form (uncorrected): 1.484 eV per atom
data_HgAs2IO
_cell_length_a 5.4801
_cell_length_b 5.4801
_cell_length_c 6.0951
_cell_angle_alpha 90.00
_cell_angle_beta 90.00
_cell_angle_gamma 90.00
_space_group_name_H-M_alt 'P 4/m m m'
_space_group_IT_number 123
_space_group_name_Hall '-P 4 2'
loop_
_atom_site_label
_atom_site_fract_x
_atom_site_fract_y
_atom_site_fract_z
_atom_site_occupancy
Hg1 0.0000 0.0000 0.0000 1
As1 0.0000 0.5000 0.5000 1
I1 0.0000 0.0000 0.5000 1
O1 0.5000 0.5000 0.0000 1


The lowest E_form (uncorrected) belongs to which entry? number 2


The highest E_form (uncorrected) belongs to which entry? HgAs2IO